Density functional theory data (PBE-GGA) for crystalline LiGaCo2Cu at its relaxed geometry.

Lattice parameters (Å, degrees): 3.962 3.962 3.958 90.00 90.00 90.00
Space group P4/mmm (No. 123)
One atom of each set of equivalent atoms:
Li (0.000, 0.000, 0.000)
Ga (0.500, 0.500, 0.500)
Co (0.000, 0.500, 0.000)
Cu (0.000, 0.000, 0.500)

Fermi-level density of states ... 1.45 states/eV/atom
Total energy ... -19.49 eV/f.u.
E_form ... 752.3 meV/atom